Compound: CoReGe3
Source: Alexandria via LeMat-Bulk
Functional: GGA-PBEsol
Structure: optimized geometry

DFT formation energy in meV/atom: 998
Volume in Å³/atom: 16.9

Cell lengths 4.391, 4.391, 4.391 Å; angles 90.00, 90.00, 90.00 degrees
Fractional positions:
Co  0.000  0.000  0.000
Re  0.500  0.500  0.500
Ge  0.000  0.000  0.500
Ge  0.000  0.500  0.000
Ge  0.500  0.000  0.000

---

Compound: Cs2TiTc
Source: Alexandria via LeMat-Bulk
Functional: GGA-PBEsol
Structure: optimized geometry

DFT formation energy in meV/atom: 2060
Volume in Å³/atom: 28.4

Cell lengths 5.436, 5.436, 5.436 Å; angles 60.00, 60.00, 60.00 degrees
Fractional positions:
Cs  0.250  0.250  0.250
Cs  0.750  0.750  0.750
Ti  0.000  0.000  0.000
Tc  0.500  0.500  0.500

---

Compound: Cu3BPt
Source: Alexandria via LeMat-Bulk
Functional: GGA-PBEsol
Structure: optimized geometry

DFT formation energy in meV/atom: 240
Volume in Å³/atom: 11.6

Cell lengths 3.875, 3.875, 3.875 Å; angles 90.00, 90.00, 90.00 degrees
Fractional positions:
Cu  0.000  0.000  0.500
Cu  0.000  0.500  0.000
Cu  0.500  0.000  0.000
B  0.000  0.000  0.000
Pt  0.500  0.500  0.500

---

Compound: TeSe
Source: Alexandria via LeMat-Bulk
Functional: GGA-PBEsol
Structure: optimized geometry

Uncorrected formation energy in meV/atom: 16
Volume in Å³/atom: 26.7

Cell lengths 7.028, 7.028, 7.028 Å; angles 146.27, 146.27, 48.45 degrees
Fractional positions:
Te  0.119  0.119  0.000
Te  0.881  0.881  0.000
Se  0.369  0.369  0.000
Se  0.631  0.631  0.000

---

Compound: Mn2Be2Al
Source: Alexandria via LeMat-Bulk
Functional: GGA-PBEsol
Structure: optimized geometry

DFT formation energy in meV/atom: -164
Volume in Å³/atom: 9.6

Cell lengths 5.785, 5.785, 2.882 Å; angles 90.00, 90.00, 90.00 degrees
Fractional positions:
Mn  0.173  0.327  0.000
Mn  0.327  0.827  0.000
Mn  0.673  0.173  0.000
Mn  0.827  0.673  0.000
Be  0.121  0.621  0.500
Be  0.379  0.121  0.500
Be  0.621  0.879  0.500
Be  0.879  0.379  0.500
Al  0.000  0.000  0.500
Al  0.500  0.500  0.500

---

Compound: Cd2AsW
Source: Alexandria via LeMat-Bulk
Functional: GGA-PBEsol
Structure: optimized geometry

DFT formation energy in meV/atom: 754
Volume in Å³/atom: 18.6

Cell lengths 5.133, 5.133, 2.828 Å; angles 90.00, 90.00, 90.00 degrees
Fractional positions:
Cd  0.000  0.500  0.000
Cd  0.500  0.000  0.000
As  0.000  0.000  0.500
W  0.500  0.500  0.500

---

Compound: FeTc5
Source: Alexandria via LeMat-Bulk
Functional: GGA-PBEsol
Structure: optimized geometry

DFT formation energy in meV/atom: 18
ΔE to the lowest computed polymorph in meV/atom: 0
Volume in Å³/atom: 13.3

Cell lengths 5.055, 5.055, 6.291 Å; angles 103.67, 103.67, 30.81 degrees
Fractional positions:
Fe  0.000  0.000  0.000
Tc  0.055  0.055  0.614
Tc  0.339  0.339  0.672
Tc  0.395  0.395  0.267
Tc  0.664  0.664  0.325
Tc  0.719  0.719  0.946

---

Compound: KBaLiZnF6
Source: Alexandria via LeMat-Bulk
Functional: GGA-PBEsol
Structure: optimized geometry

Uncorrected formation energy in meV/atom: -3047
Volume in Å³/atom: 13.0

Cell lengths 5.684, 5.684, 5.684 Å; angles 60.00, 60.00, 60.00 degrees
Fractional positions:
K  0.000  0.000  0.000
Ba  0.500  0.500  0.500
Li  0.750  0.750  0.750
Zn  0.250  0.250  0.250
F  0.501  0.501  0.999
F  0.501  0.999  0.501
F  0.501  0.999  0.999
F  0.999  0.501  0.501
F  0.999  0.501  0.999
F  0.999  0.999  0.501

---

Compound: AlCuNi
Source: Alexandria via LeMat-Bulk
Functional: GGA-PBEsol
Structure: optimized geometry

DFT formation energy in meV/atom: -354
ΔE to the lowest computed polymorph in meV/atom: 19
Volume in Å³/atom: 11.7

Cell lengths 4.617, 4.617, 4.617 Å; angles 143.27, 143.27, 52.92 degrees
Fractional positions:
Al  0.000  0.000  0.000
Cu  0.327  0.327  0.000
Ni  0.657  0.657  0.000

---

Compound: BeReAs2
Source: Alexandria via LeMat-Bulk
Functional: GGA-PBEsol
Structure: optimized geometry

DFT formation energy in meV/atom: 302
Volume in Å³/atom: 15.7

Cell lengths 9.013, 9.013, 9.013 Å; angles 18.26, 18.26, 18.26 degrees
Fractional positions:
Be  0.000  0.000  0.000
Re  0.264  0.264  0.264
As  0.524  0.524  0.524
As  0.738  0.738  0.738

---

Compound: PtAu3
Source: Alexandria via LeMat-Bulk
Functional: GGA-PBEsol
Structure: optimized geometry

DFT formation energy in meV/atom: 48
Volume in Å³/atom: 16.4

Cell lengths 2.824, 4.769, 4.880 Å; angles 90.00, 90.00, 90.00 degrees
Fractional positions:
Pt  0.000  0.000  0.000
Au  0.000  0.500  0.669
Au  0.500  0.000  0.499
Au  0.500  0.500  0.164

---

Compound: LiGa2Ni
Source: Alexandria via LeMat-Bulk
Functional: GGA-PBEsol
Structure: optimized geometry

DFT formation energy in meV/atom: -420
Volume in Å³/atom: 12.3

Cell lengths 4.113, 4.113, 4.113 Å; angles 60.00, 60.00, 60.00 degrees
Fractional positions:
Li  0.000  0.000  0.000
Ga  0.250  0.250  0.250
Ga  0.750  0.750  0.750
Ni  0.500  0.500  0.500

---

no.,calculated density (g/cm³)
1,9.08
2,6.02
3,11.32
4,6.44
5,5.33
6,10.78
7,11.35
8,4.64
9,7.08
10,9.12
11,19.86
12,6.92